Material: Ba2Sr4Cu
Method: DFT, PBE
State: optimized geometry

Cell: 6.0041 6.0041 11.6355 Å, 75.05 75.05 90.00°
Positions (direct):
Sr (0.8613, 0.8613, 0.2775)
Sr (0.1387, 0.1387, 0.7225)
Sr (0.0000, 0.5000, 0.0000)
Sr (0.5000, 0.0000, 0.0000)
Ba (0.6677, 0.6677, 0.6645)
Ba (0.3323, 0.3323, 0.3355)
Cu (0.0000, 0.0000, 0.0000)

Values from the calculation:
V, Å³ per cell: 391
Total magnetization, μB/f.u.: 0.0
Total DFT energy (no corrections), eV per formula unit: -13.968



Material: MnCuAgGe
Method: DFT, PBE
State: optimized geometry

Cell: 4.4172 4.4172 4.4172 Å, 60.00 60.00 60.00°
Site moments in Bohr magnetons follow the coordinates.
Positions (direct):
Ge (0.5000, 0.5000, 0.5000)  -0.06
Mn (0.2500, 0.2500, 0.2500)  3.55
Cu (0.7500, 0.7500, 0.7500)  0.01
Ag (0.0000, 0.0000, 0.0000)  0.03

Values from the calculation:
V, Å³ per cell: 61
Total magnetization, μB/f.u.: 3.7
Total DFT energy (no corrections), eV per formula unit: -20.144